Run 1
Below is crystalline CrGaCl2 at its relaxed geometry, with properties calculated at the PBE-GGA level. Values from VASP.

Calculated values
* ρ: 3.77 g cm⁻³

Quantum ESPRESSO input file:
```
&SYSTEM
  ibrav = 0, nat = 4, ntyp = 3
/
ATOMIC_SPECIES
Cr 52.00 Cr.upf
Cl 35.45 Cl.upf
Ga 69.72 Ga.upf
ATOMIC_POSITIONS crystal
Cr 0.000 0.000 0.000
Cl 0.750 0.750 0.750
Cl 0.250 0.250 0.250
Ga 0.500 0.500 0.500
CELL_PARAMETERS angstrom
2.274 -3.410 2.745
-2.482 -2.373 3.542
-1.133 -4.769 -0.554
```


Run 2
Below is crystalline CrGaCl2 at its relaxed geometry, with properties calculated at the PBE-GGA level. Values from VASP.

Calculated values
* ρ: 3.19 g cm⁻³

Quantum ESPRESSO input file:
```
&SYSTEM
  ibrav = 0, nat = 8, ntyp = 3
/
ATOMIC_SPECIES
Cl 35.45 Cl.upf
Cr 52.00 Cr.upf
Ga 69.72 Ga.upf
ATOMIC_POSITIONS crystal
Cl 0.875 0.770 0.750
Cl 0.375 0.480 0.750
Cl 0.230 0.625 0.250
Cl 0.520 0.125 0.250
Cr 0.500 0.500 0.000
Cr 0.250 0.750 0.500
Ga 0.000 0.000 0.000
Ga 0.750 0.250 0.500
CELL_PARAMETERS angstrom
-4.116 -3.790 -2.747
-1.617 -2.281 5.570
-6.507 0.605 1.845
```


Name the most stable of them. run 1.


Run 1
Below is crystalline Cr3GeCl at its relaxed geometry, with properties calculated at the PBE-GGA level. Values from VASP.

Calculated values
* ρ: 3.75 g cm⁻³

Quantum ESPRESSO input file:
```
&SYSTEM
  ibrav = 0, nat = 5, ntyp = 3
/
ATOMIC_SPECIES
Cr 52.00 Cr.upf
Ge 72.64 Ge.upf
Cl 35.45 Cl.upf
ATOMIC_POSITIONS crystal
Cr 0.000 0.500 0.000
Cr 0.000 0.000 0.500
Cr 0.500 0.000 0.000
Ge 0.000 0.000 0.000
Cl 0.500 0.500 0.500
CELL_PARAMETERS angstrom
4.892 0.000 0.000
0.000 4.892 0.000
0.000 0.000 4.892
```


Run 2
Below is crystalline Cr3GeCl at its relaxed geometry, with properties calculated at the PBE-GGA level. Values from VASP.

Calculated values
* ρ: 6.17 g cm⁻³

Quantum ESPRESSO input file:
```
&SYSTEM
  ibrav = 0, nat = 5, ntyp = 3
/
ATOMIC_SPECIES
Cr 52.00 Cr.upf
Cl 35.45 Cl.upf
Ge 72.64 Ge.upf
ATOMIC_POSITIONS crystal
Cr 0.500 0.000 0.000
Cr 0.000 0.500 0.000
Cr 0.000 0.000 0.500
Cl 0.000 0.000 0.000
Ge 0.500 0.500 0.500
CELL_PARAMETERS angstrom
4.143 0.000 0.000
0.000 4.143 0.000
0.000 0.000 4.143
```


Name the most stable of them. run 1.


Run 1
Below is crystalline Cr2GeCl at its relaxed geometry, with properties calculated at the PBE-GGA level. Values from VASP.

Calculated values
* ρ: 5.29 g cm⁻³

Quantum ESPRESSO input file:
```
&SYSTEM
  ibrav = 0, nat = 4, ntyp = 3
/
ATOMIC_SPECIES
Ge 72.64 Ge.upf
Cr 52.00 Cr.upf
Cl 35.45 Cl.upf
ATOMIC_POSITIONS crystal
Ge 0.500 0.500 0.500
Cr 0.250 0.250 0.250
Cr 0.750 0.750 0.750
Cl 0.000 0.000 0.000
CELL_PARAMETERS angstrom
2.938 1.981 2.851
-1.427 1.522 4.041
1.263 -2.138 3.810
```


Run 2
Below is crystalline Cr2GeCl at its relaxed geometry, with properties calculated at the PBE-GGA level. Values from VASP.

Calculated values
* ρ: 3.85 g cm⁻³

Quantum ESPRESSO input file:
```
&SYSTEM
  ibrav = 0, nat = 8, ntyp = 3
/
ATOMIC_SPECIES
Ge 72.64 Ge.upf
Cl 35.45 Cl.upf
Cr 52.00 Cr.upf
ATOMIC_POSITIONS crystal
Ge 0.000 0.000 0.000
Ge 0.750 0.250 0.500
Cl 0.250 0.750 0.500
Cl 0.500 0.500 0.000
Cr 0.118 0.625 0.250
Cr 0.632 0.125 0.250
Cr 0.875 0.882 0.750
Cr 0.375 0.368 0.750
CELL_PARAMETERS angstrom
-5.037 3.071 -0.233
-1.206 -1.555 5.566
-0.603 5.021 4.403
```


Name the most stable of them. run 1.


Run 1
Below is crystalline CrGe2Cl at its relaxed geometry, with properties calculated at the PBE-GGA level. Values from VASP.

Calculated values
* ρ: 3.92 g cm⁻³

Quantum ESPRESSO input file:
```
&SYSTEM
  ibrav = 0, nat = 8, ntyp = 3
/
ATOMIC_SPECIES
Cl 35.45 Cl.upf
Ge 72.64 Ge.upf
Cr 52.00 Cr.upf
ATOMIC_POSITIONS crystal
Cl 0.250 0.750 0.500
Cl 0.500 0.500 0.000
Ge 0.999 0.625 0.250
Ge 0.375 0.249 0.750
Ge 0.875 0.001 0.750
Ge 0.751 0.125 0.250
Cr 0.000 0.000 0.000
Cr 0.750 0.250 0.500
CELL_PARAMETERS angstrom
4.897 0.000 0.000
0.000 4.897 0.000
2.448 2.448 8.214
```


Run 2
Below is crystalline CrGe2Cl at its relaxed geometry, with properties calculated at the PBE-GGA level. Values from VASP.

Calculated values
* ρ: 5.08 g cm⁻³

Quantum ESPRESSO input file:
```
&SYSTEM
  ibrav = 0, nat = 4, ntyp = 3
/
ATOMIC_SPECIES
Ge 72.64 Ge.upf
Cr 52.00 Cr.upf
Cl 35.45 Cl.upf
ATOMIC_POSITIONS crystal
Ge 0.750 0.750 0.750
Ge 0.250 0.250 0.250
Cr 0.500 0.500 0.500
Cl 0.000 0.000 0.000
CELL_PARAMETERS angstrom
0.000 3.363 3.363
3.363 0.000 3.363
3.363 3.363 0.000
```


Name the most stable of them. run 1.


Run 1
Below is crystalline CrH2Cl at its relaxed geometry, with properties calculated at the PBE-GGA level. Values from VASP.

Calculated values
* ρ: 3.57 g cm⁻³

Quantum ESPRESSO input file:
```
&SYSTEM
  ibrav = 0, nat = 4, ntyp = 3
/
ATOMIC_SPECIES
Cl 35.45 Cl.upf
H 1.01 H.upf
Cr 52.00 Cr.upf
ATOMIC_POSITIONS crystal
Cl 0.000 0.000 0.000
H 0.250 0.250 0.250
H 0.750 0.750 0.750
Cr 0.500 0.500 0.500
CELL_PARAMETERS angstrom
1.614 -1.868 3.008
-2.078 -0.657 3.224
-1.134 -3.617 0.880
```


Run 2
Below is crystalline CrH2Cl at its relaxed geometry, with properties calculated at the PBE-GGA level. Values from VASP.

Calculated values
* ρ: 2.82 g cm⁻³

Quantum ESPRESSO input file:
```
&SYSTEM
  ibrav = 0, nat = 8, ntyp = 3
/
ATOMIC_SPECIES
Cr 52.00 Cr.upf
H 1.01 H.upf
Cl 35.45 Cl.upf
ATOMIC_POSITIONS crystal
Cr 0.750 0.250 0.500
Cr 0.000 0.000 0.000
H 0.375 0.140 0.750
H 0.890 0.625 0.250
H 0.860 0.125 0.250
H 0.875 0.110 0.750
Cl 0.500 0.500 0.000
Cl 0.250 0.750 0.500
CELL_PARAMETERS angstrom
6.665 0.000 0.000
0.000 6.665 0.000
3.332 3.332 2.376
```


Name the most stable of them. run 2.


Run 1
Below is crystalline CrP2HCl at its relaxed geometry, with properties calculated at the PBE-GGA level. Values from VASP.

Calculated values
* ρ: 3.35 g cm⁻³

Quantum ESPRESSO input file:
```
&SYSTEM
  ibrav = 0, nat = 5, ntyp = 4
/
ATOMIC_SPECIES
P 30.97 P.upf
H 1.01 H.upf
Cl 35.45 Cl.upf
Cr 52.00 Cr.upf
ATOMIC_POSITIONS crystal
P 0.500 0.000 0.000
P 0.000 0.500 0.000
H 0.000 0.000 0.000
Cl 0.000 0.000 0.500
Cr 0.500 0.500 0.500
CELL_PARAMETERS angstrom
3.610 0.000 0.000
0.000 3.610 0.000
0.000 0.000 5.717
```


Run 2
Below is crystalline CrP2HCl at its relaxed geometry, with properties calculated at the PBE-GGA level. Values from VASP.

Calculated values
* ρ: 2.62 g cm⁻³

Quantum ESPRESSO input file:
```
&SYSTEM
  ibrav = 0, nat = 5, ntyp = 4
/
ATOMIC_SPECIES
P 30.97 P.upf
Cr 52.00 Cr.upf
H 1.01 H.upf
Cl 35.45 Cl.upf
ATOMIC_POSITIONS crystal
P 0.000 0.500 0.000
P 0.500 0.000 0.000
Cr 0.000 0.000 0.000
H 0.500 0.500 0.500
Cl 0.000 0.000 0.500
CELL_PARAMETERS angstrom
-3.915 1.186 1.401
-1.547 -3.908 -1.014
1.163 -1.671 4.665
```


Name the most stable of them. run 1.